No. 1
Ga3CoAs | GGA-PBE | relaxed

Properties
Formation energy ... 4.6 eV/f.u.
Calculated total energy ... -0.1194 Ha/atom
Magnetization ... 0.383 μB/atom

abc: 4.958 4.958 4.958
angles: 90.00 90.00 90.00
Sites, in units of the cell vectors:
Ga 0.000 0.500 0.000
Ga 0.500 0.000 0.000
Ga 0.000 0.000 0.500
Co 0.500 0.500 0.500
As 0.000 0.000 0.000

No. 2
GaCoAs2 | GGA-PBE | relaxed

Properties
Formation energy ... -0.1 eV/f.u.
Calculated total energy ... -0.1796 Ha/atom
Magnetization ... 0.000 μB/atom

abc: 5.535 5.535 6.727
angles: 65.70 65.70 90.00
Sites, in units of the cell vectors:
Co 0.250 0.750 0.500
Ga 0.000 0.000 0.000
Ga 0.750 0.250 0.500
As 0.875 0.833 0.750
As 0.583 0.125 0.250
Co 0.500 0.500 0.000
As 0.375 0.417 0.750
As 0.167 0.625 0.250

No. 3
Ga3CoAs | GGA-PBE | relaxed

Properties
Formation energy ... 0.7 eV/f.u.
Calculated total energy ... -0.1477 Ha/atom
Magnetization ... 0.000 μB/atom

abc: 4.562 4.562 4.562
angles: 90.00 90.00 90.00
Sites, in units of the cell vectors:
As 0.500 0.500 0.500
Ga 0.000 0.500 0.000
Ga 0.000 0.000 0.500
Co 0.000 0.000 0.000
Ga 0.500 0.000 0.000